[1]
Here is a geometry-optimized BaLi4Pb8 structure from Alexandria via LeMat-Bulk. Energies are from GGA-PBE.

Unit cell a=8.182 b=8.182 c=8.182 alpha=98.64 beta=98.64 gamma=134.38
Fractional coordinates of all 13 atoms:
Ba 0.000 0.000 0.000
Li 0.000 0.000 0.500
Li 0.000 0.500 0.000
Li 0.500 0.000 0.000
Li 0.500 0.500 0.500
Pb 0.000 0.346 0.346
Pb 0.000 0.654 0.654
Pb 0.278 0.500 0.778
Pb 0.346 0.000 0.346
Pb 0.500 0.278 0.778
Pb 0.500 0.722 0.222
Pb 0.654 0.000 0.654
Pb 0.722 0.500 0.222

## Properties
Total moment = 0.00 Bohr magnetons per cell
Energy of formation from the pure elements = -0.2622 eV/atom
Density of states at the Fermi level = 4.591 states/eV/f.u.
Raw total energy = -42.7 eV/f.u.

---

[2]
Here is a geometry-optimized Tm2BiIrO8 structure from Alexandria via LeMat-Bulk. Energies are from GGA-PBE.

Unit cell a=4.973 b=4.973 c=6.686 alpha=90.00 beta=90.00 gamma=91.46
Fractional coordinates of all 12 atoms:
Tm 0.000 0.000 0.245
Tm 0.000 0.000 0.755
Bi 0.500 0.500 0.500
Ir 0.500 0.500 0.000
O 0.192 0.192 0.500
O 0.221 0.221 0.000
O 0.317 0.683 0.225
O 0.317 0.683 0.775
O 0.683 0.317 0.225
O 0.683 0.317 0.775
O 0.779 0.779 0.000
O 0.808 0.808 0.500

## Properties
Total moment = 1.99 Bohr magnetons per cell
ΔE_f (raw) = -1.98 eV per atom
Density of states at the Fermi level = 0.917 states/eV/f.u.
Raw total energy = -85.1 eV/f.u.